The following is a meta-GGA SCAN calculation of a crystal of LaEr3 relaxed with PBEsol, from Alexandria via LeMat-Bulk.

Formation enthalpy at 0 K: 0.2 eV per formula unit

The structure in POSCAR format:
```
LaEr3
1.0
-2.4844 2.4844 4.9048
2.4844 -2.4844 4.9048
2.4844 2.4844 -4.9048
La Er
1 3
Direct
0.0000 0.0000 0.0000
0.2500 0.7500 0.5000
0.5000 0.5000 0.0000
0.7500 0.2500 0.5000
```